[1]
A relaxed structure of NdYTlZn. Source: Alexandria via LeMat-Bulk, functional GGA-PBE.

For the relative energy among the computed polymorphs, the calculation gives 0 meV/atom.

The structure belongs to space group P4mm (No. 99); the cell edges are 3.7218, 3.7218 and 7.5918 Å and the angles 90.00°, 90.00° and 90.00°. The distinct sites, in fractional coordinates, are Nd at (0.0000, 0.0000, 0.0000), Y at (0.0000, 0.0000, 0.5426), Tl at (0.5000, 0.5000, 0.2827) and Zn at (0.5000, 0.5000, 0.7561).

=====

[2]
A relaxed structure of NdY2Tl2Zn2. Source: Alexandria via LeMat-Bulk, functional GGA-PBE.

The structure belongs to space group R-3m (No. 166, hexagonal axes); the cell edges are 4.7534, 4.7534 and 28.1302 Å and the angles 90.00°, 90.00° and 120.00°. The distinct sites, in fractional coordinates, are Nd at (0.0000, 0.0000, 0.0000), Y at (0.0000, 0.0000, 0.1276), Tl at (0.0000, 0.0000, 0.2581) and Zn at (0.0000, 0.0000, 0.3971).

=====

[3]
A relaxed structure of Nd11Tl9Zn4. Source: Alexandria via LeMat-Bulk, functional GGA-PBE.

The structure belongs to space group Cmmm (No. 65); the cell edges are 15.1575, 22.7766 and 3.8801 Å and the angles 90.00°, 90.00° and 90.00°. The distinct sites, in fractional coordinates, are Nd at (0.0000, 0.0000, 0.0000), Nd at (0.0000, 0.1636, 0.0000), Nd at (0.0000, 0.3656, 0.0000), Nd at (0.2040, 0.5000, 0.0000), Nd at (0.2433, 0.1710, 0.0000), Tl at (0.0000, 0.5000, 0.5000), Tl at (0.1083, 0.2611, 0.5000), Tl at (0.1407, 0.0743, 0.5000) and Zn at (0.1466, 0.4027, 0.5000).

=====

We obtain energy relative to the elements values of -365.8 -192.9 -348.3 meV per atom for the records listed above, in that order.